First-principles (PBE+U) data for a relaxed Nd2BeCrO6 crystal, as listed in the Alexandria database.

a = 5.383 Å, b = 5.338 Å, c = 9.190 Å
α = 90.00°, β = 125.42°, γ = 90.00°
Sites, in units of the cell vectors:
Nd 0.242 0.022 0.248
Nd 0.242 0.478 0.748
Nd 0.758 0.522 0.252
Nd 0.758 0.978 0.752
Be 0.000 0.000 0.500
Be 0.000 0.500 0.000
Cr 0.500 0.000 0.000
Cr 0.500 0.500 0.500
O 0.186 0.237 0.964
O 0.186 0.263 0.464
O 0.238 0.730 0.968
O 0.238 0.770 0.468
O 0.310 0.006 0.747
O 0.310 0.494 0.247
O 0.690 0.506 0.753
O 0.690 0.994 0.253
O 0.762 0.230 0.532
O 0.762 0.270 0.032
O 0.814 0.737 0.536
O 0.814 0.763 0.036

Calculated values
The calculation puts the total magnetic moment at 4.0 μB/cell. As for the calculated volume: 10.76 Å³ per atom. The calculation puts the mass density at 6.88 g/cm3. Its total energy is -76.8 eV/f.u.